(1)
Entry from the Alexandria database: crystalline Sc2Co at its relaxed geometry (PBE-GGA).

```
Sc2Co
1.0
1.630 -5.713 0.000
1.630 5.713 0.000
0.000 0.000 6.127
Sc Co
4 2
Direct
0.022 0.978 0.500
0.283 0.717 0.672
0.717 0.283 0.172
0.978 0.022 0.000
0.381 0.619 0.286
0.619 0.381 0.786
```

Space group: Cmc2_1, No. 36
N(E_F): 5.41 states/eV per cell
VASP energy: -6.81 eV/atom
Total moment: 0.00 μB per formula unit
Energy relative to the elements: -0.218 eV/atom

(2)
Entry from the Alexandria database: crystalline SbOsS2N at its relaxed geometry (PBE-GGA).

```
SbOsS2N
1.0
4.878 0.000 0.000
0.000 4.878 0.000
0.000 0.000 3.706
Sb Os S N
1 1 2 1
Direct
0.000 0.000 0.000
0.500 0.500 0.500
0.000 0.500 0.500
0.500 0.000 0.500
0.500 0.500 0.000
```

Space group: P4/mmm, No. 123
Formation energy from raw total energies: 1.792 eV per formula unit
N(E_F): 4.46 states/eV per cell
VASP energy: -6.03 eV/atom
Distance to the lowest polymorph of the same formula: 0 meV/atom
Total moment: 0.00 μB per formula unit

What did the second record say?
Entry from the Alexandria database: crystalline SbOsS2N at its relaxed geometry (PBE-GGA).

```
SbOsS2N
1.0
4.878 0.000 0.000
0.000 4.878 0.000
0.000 0.000 3.706
Sb Os S N
1 1 2 1
Direct
0.000 0.000 0.000
0.500 0.500 0.500
0.000 0.500 0.500
0.500 0.000 0.500
0.500 0.500 0.000
```

Space group: P4/mmm, No. 123
Formation energy from raw total energies: 1.792 eV per formula unit
N(E_F): 4.46 states/eV per cell
VASP energy: -6.03 eV/atom
Distance to the lowest polymorph of the same formula: 0 meV/atom
Total moment: 0.00 μB per formula unit

- N(E_F) of number 1 (Sc2Co)?
  5.41 states/eV per cell

Please write out number 2 again, unchanged.
Entry from the Alexandria database: crystalline SbOsS2N at its relaxed geometry (PBE-GGA).

```
SbOsS2N
1.0
4.878 0.000 0.000
0.000 4.878 0.000
0.000 0.000 3.706
Sb Os S N
1 1 2 1
Direct
0.000 0.000 0.000
0.500 0.500 0.500
0.000 0.500 0.500
0.500 0.000 0.500
0.500 0.500 0.000
```

Space group: P4/mmm, No. 123
Formation energy from raw total energies: 1.792 eV per formula unit
N(E_F): 4.46 states/eV per cell
VASP energy: -6.03 eV/atom
Distance to the lowest polymorph of the same formula: 0 meV/atom
Total moment: 0.00 μB per formula unit